# NaFe

A relaxed NaFe crystal (PBE, Alexandria via LeMat-Bulk).

Output
Total energy   -3.921 eV/atom

Cell lengths 8.7811, 8.7811, 8.7811 Å; angles 90.00, 90.00, 90.00 degrees
Space group I-43m (No. 217)
Symmetry-distinct sites (fractional):
Na: 0.2105 0.2105 0.2105
Fe: 0.0925 0.0925 0.9075

# Sr3CdPb3

A relaxed Sr3CdPb3 crystal (PBE, Alexandria via LeMat-Bulk).

Output
Total energy   -2.934 eV/atom

Cell lengths 12.3170, 5.1373, 16.3833 Å; angles 90.00, 109.72, 90.00 degrees
Space group C2/m (No. 12)
Symmetry-distinct sites (fractional):
Sr: 0.0341 0.0000 0.3825
Sr: 0.0966 0.0000 0.9217
Sr: 0.2371 0.0000 0.2266
Cd: 0.2414 0.5000 0.3857
Pb: 0.0240 0.5000 0.2307
Pb: 0.1197 0.5000 0.0753
Pb: 0.1378 0.5000 0.5383

# CaZnW2

A relaxed CaZnW2 crystal (PBE, Alexandria via LeMat-Bulk).

Output
Total energy   -6.655 eV/atom

Cell lengths 2.7256, 2.7256, 9.5099 Å; angles 90.00, 90.00, 90.00 degrees
Space group P4/mmm (No. 123)
Symmetry-distinct sites (fractional):
Ca: 0.0000 0.0000 0.0000
Zn: 0.0000 0.0000 0.5000
W: 0.5000 0.5000 0.2798

# VPdAu2

A relaxed VPdAu2 crystal (PBE, Alexandria via LeMat-Bulk).

Output
Excess energy over the best structure of this formula in the dataset   62 kJ/mol of formula units
Total energy   -5.116 eV/atom

Cell lengths 4.4085, 4.4085, 8.4133 Å; angles 90.00, 90.00, 120.00 degrees
Space group P6_3/mmc (No. 194)
Symmetry-distinct sites (fractional):
V: 0.0000 0.0000 0.2500
Pd: 0.3333 0.6667 0.2500
Au: 0.3333 0.6667 0.5832

# Tb2GeN

A relaxed Tb2GeN crystal (PBE, Alexandria via LeMat-Bulk).

Output
Total energy   -6.690 eV/atom

Cell lengths 3.5600, 3.5600, 21.4342 Å; angles 90.00, 90.00, 120.00 degrees
Space group R-3m (No. 166, hexagonal axes)
Symmetry-distinct sites (fractional):
Tb: 0.0000 0.0000 0.2301
Ge: 0.0000 0.0000 0.0000
N: 0.0000 0.0000 0.5000

# BeAs2AuBr

A relaxed BeAs2AuBr crystal (PBE, Alexandria via LeMat-Bulk).

Output
Excess energy over the best structure of this formula in the dataset   0 kJ/mol of formula units
Total energy   -3.031 eV/atom

Cell lengths 4.5847, 4.5847, 4.7243 Å; angles 90.00, 90.00, 90.00 degrees
Space group P4/mmm (No. 123)
Symmetry-distinct sites (fractional):
Be: 0.0000 0.0000 0.0000
As: 0.0000 0.5000 0.0000
Au: 0.5000 0.5000 0.5000
Br: 0.0000 0.0000 0.5000

# LiAg5

A relaxed LiAg5 crystal (PBE, Alexandria via LeMat-Bulk).

Output
Excess energy over the best structure of this formula in the dataset   19 kJ/mol of formula units
Total energy   -2.746 eV/atom

Cell lengths 2.9252, 2.9252, 12.1196 Å; angles 90.00, 90.00, 90.00 degrees
Space group P4/mmm (No. 123)
Symmetry-distinct sites (fractional):
Li: 0.0000 0.0000 0.0000
Ag: 0.0000 0.0000 0.3275
Ag: 0.5000 0.5000 0.1544
Ag: 0.5000 0.5000 0.5000

# NaBeTc3

A relaxed NaBeTc3 crystal (PBE, Alexandria via LeMat-Bulk).

Output
Excess energy over the best structure of this formula in the dataset   0 kJ/mol of formula units
Total energy   -6.159 eV/atom

Cell lengths 4.2440, 4.2440, 4.2440 Å; angles 90.00, 90.00, 90.00 degrees
Space group Pm-3m (No. 221)
Symmetry-distinct sites (fractional):
Na: 0.0000 0.0000 0.0000
Be: 0.5000 0.5000 0.5000
Tc: 0.0000 0.5000 0.5000